1.
Compound: SrScIn2
Source: the Alexandria database
Functional: meta-GGA SCAN
Structure: single point on PBEsol structure

The density comes out at 5.75 g cm⁻³. The formation energy from the elements is -566 meV/atom.

Structure (POSCAR):
```
SrScIn2
1.0
3.721 0.000 0.000
0.000 3.721 0.000
0.000 0.000 7.559
Sr Sc In
1 1 2
direct
0.000 0.000 0.000
0.000 0.000 0.500
0.500 0.500 0.291
0.500 0.500 0.709
```

***

2.
Compound: Hf2SeN
Source: the Alexandria database
Functional: meta-GGA SCAN
Structure: single point on PBEsol structure

The density comes out at 9.76 g cm⁻³. The uncorrected formation energy comes out at -1140 meV per atom.

Structure (POSCAR):
```
Hf2SeN
1.0
-2.703 2.703 5.236
2.703 -2.703 5.236
2.703 2.703 -5.236
Hf Se N
4 2 2
direct
0.043 0.625 0.918
0.375 0.293 0.418
0.707 0.125 0.082
0.875 0.957 0.582
0.250 0.750 0.500
0.500 0.500 0.000
0.000 0.000 0.000
0.750 0.250 0.500
```

***

3.
Compound: Zr3Si
Source: the Alexandria database
Functional: meta-GGA SCAN
Structure: single point on PBEsol structure

The density comes out at 6.23 g cm⁻³. The uncorrected formation energy comes out at -541 meV per atom.

Structure (POSCAR):
```
Zr3Si
1.0
6.926 0.000 0.000
0.000 8.458 0.000
0.000 0.000 5.491
Zr Si
12 4
direct
0.022 0.250 0.114
0.186 0.041 0.638
0.186 0.459 0.638
0.314 0.541 0.138
0.314 0.959 0.138
0.478 0.750 0.614
0.522 0.250 0.386
0.686 0.041 0.862
0.686 0.459 0.862
0.814 0.541 0.362
0.814 0.959 0.362
0.978 0.750 0.886
0.110 0.750 0.413
0.390 0.250 0.913
0.610 0.750 0.087
0.890 0.250 0.587
```